This record from Alexandria via LeMat-Bulk describes crystalline HoAl5Pt3 at its relaxed geometry. The functional is GGA-PBE.

Values from the calculation:
- Total DFT energy (no corrections): -5.505 eV per atom
- Mass density: 9.026 g/cm³
- Crystal system: orthorhombic
- Size of the total moment: 0.0 Bohr magnetons per cell
- Energy relative to the elements: -785 kJ/mol of formula units

Structure (CIF):
```
data_HoAl5Pt3
_chemical_formula_sum 'Ho2 Al10 Pt6'
_cell_length_a 4.044
_cell_length_b 6.783
_cell_length_c 12.438
_cell_angle_alpha 90.00
_cell_angle_beta 90.00
_cell_angle_gamma 107.34
_space_group_name_H-M_alt 'P 1'
_space_group_IT_number 1
loop_
_space_group_symop_operation_xyz
'x,y,z'
loop_
_atom_site_label
_atom_site_type_symbol
_atom_site_fract_x
_atom_site_fract_y
_atom_site_fract_z
Ho1 Ho 0.862 0.723 0.750
Ho2 Ho 0.138 0.277 0.250
Al1 Al 0.800 0.599 0.440
Al2 Al 0.200 0.401 0.940
Al3 Al 0.000 0.000 0.500
Al4 Al 0.000 0.000 0.000
Al5 Al 0.434 0.868 0.147
Al6 Al 0.566 0.132 0.853
Al7 Al 0.566 0.132 0.647
Al8 Al 0.800 0.599 0.060
Al9 Al 0.200 0.401 0.560
Al10 Al 0.434 0.868 0.353
Pt1 Pt 0.389 0.778 0.946
Pt2 Pt 0.869 0.739 0.250
Pt3 Pt 0.389 0.778 0.554
Pt4 Pt 0.611 0.222 0.446
Pt5 Pt 0.131 0.261 0.750
Pt6 Pt 0.611 0.222 0.054
```

***

This record from Alexandria via LeMat-Bulk describes crystalline Pr4CS2Br at its relaxed geometry. The functional is GGA-PBE.

Values from the calculation:
- Formation energy without anion corrections: -1347 meV per atom
- Total DFT energy (no corrections): -6.131 eV per atom
- Mass density: 6.115 g/cm³
- Crystal system: monoclinic
- Size of the total moment: 0.0 Bohr magnetons per cell

Structure (CIF):
```
data_Pr4CS2Br
_chemical_formula_sum 'Pr4 C1 S2 Br1'
_cell_length_a 4.017
_cell_length_b 6.941
_cell_length_c 7.389
_cell_angle_alpha 71.54
_cell_angle_beta 90.00
_cell_angle_gamma 90.00
_space_group_name_H-M_alt 'P 1'
_space_group_IT_number 1
loop_
_space_group_symop_operation_xyz
'x,y,z'
loop_
_atom_site_label
_atom_site_type_symbol
_atom_site_fract_x
_atom_site_fract_y
_atom_site_fract_z
Pr1 Pr 0.000 0.749 0.708
Pr2 Pr 0.000 0.251 0.292
Pr3 Pr 0.500 0.727 0.290
Pr4 Pr 0.500 0.273 0.710
C1 C 0.000 0.500 0.500
S1 S 0.000 0.000 0.000
S2 S 0.500 0.000 0.500
Br1 Br 0.500 0.500 0.000
```

***

This record from Alexandria via LeMat-Bulk describes crystalline Al3VP at its relaxed geometry. The functional is GGA-PBE.

Values from the calculation:
- Total DFT energy (no corrections): -4.105 eV per atom
- Mass density: 2.481 g/cm³
- Crystal system: cubic
- Size of the total moment: 0.0 Bohr magnetons per cell
- Energy above the most stable polymorph in this dataset: 317 meV/atom
- Energy relative to the elements: 505 kJ/mol of formula units

Structure (CIF):
```
data_Al3VP
_chemical_formula_sum 'Al3 V1 P1'
_cell_length_a 4.777
_cell_length_b 4.777
_cell_length_c 4.777
_cell_angle_alpha 90.00
_cell_angle_beta 90.00
_cell_angle_gamma 90.00
_space_group_name_H-M_alt 'P 1'
_space_group_IT_number 1
loop_
_space_group_symop_operation_xyz
'x,y,z'
loop_
_atom_site_label
_atom_site_type_symbol
_atom_site_fract_x
_atom_site_fract_y
_atom_site_fract_z
P1 P 0.500 0.500 0.500
Al1 Al 0.000 0.500 0.000
Al2 Al 0.000 0.000 0.500
Al3 Al 0.500 0.000 0.000
V1 V 0.000 0.000 0.000
```

***

This record from Alexandria via LeMat-Bulk describes crystalline BaCa2Cl at its relaxed geometry. The functional is GGA-PBE.

Values from the calculation:
- Formation energy without anion corrections: -766 meV per atom
- Total DFT energy (no corrections): -2.709 eV per atom
- Mass density: 2.455 g/cm³
- Crystal system: monoclinic
- Size of the total moment: 0.0 Bohr magnetons per cell
- Energy above the most stable polymorph in this dataset: 0 meV/atom

Structure (CIF):
```
data_BaCa2Cl
_chemical_formula_sum 'Ba1 Ca2 Cl1'
_cell_length_a 3.914
_cell_length_b 4.096
_cell_length_c 10.671
_cell_angle_alpha 89.79
_cell_angle_beta 90.00
_cell_angle_gamma 90.00
_space_group_name_H-M_alt 'P 1'
_space_group_IT_number 1
loop_
_space_group_symop_operation_xyz
'x,y,z'
loop_
_atom_site_label
_atom_site_type_symbol
_atom_site_fract_x
_atom_site_fract_y
_atom_site_fract_z
Ca1 Ca 0.000 0.002 0.021
Ca2 Ca 0.500 0.499 0.281
Ba1 Ba 0.500 0.504 0.720
Cl1 Cl 0.000 0.495 0.478
```

***

This record from Alexandria via LeMat-Bulk describes crystalline Li8Tl2Rh at its relaxed geometry. The functional is GGA-PBE.

Values from the calculation:
- Total DFT energy (no corrections): -2.625 eV per atom
- Mass density: 4.957 g/cm³
- Crystal system: monoclinic
- Size of the total moment: 0.0 Bohr magnetons per cell
- Energy relative to the elements: -143 kJ/mol of formula units

Structure (CIF):
```
data_Li8Tl2Rh
_chemical_formula_sum 'Li8 Tl2 Rh1'
_cell_length_a 3.953
_cell_length_b 6.733
_cell_length_c 7.732
_cell_angle_alpha 73.37
_cell_angle_beta 75.19
_cell_angle_gamma 90.00
_space_group_name_H-M_alt 'P 1'
_space_group_IT_number 1
loop_
_space_group_symop_operation_xyz
'x,y,z'
loop_
_atom_site_label
_atom_site_type_symbol
_atom_site_fract_x
_atom_site_fract_y
_atom_site_fract_z
Li1 Li 0.912 0.582 0.145
Li2 Li 0.165 0.915 0.639
Li3 Li 0.371 0.831 0.227
Li4 Li 0.462 0.248 0.044
Li5 Li 0.628 0.169 0.713
Li6 Li 0.834 0.086 0.301
Li7 Li 0.087 0.419 0.794
Li8 Li 0.537 0.752 0.895
Tl1 Tl 0.282 0.341 0.405
Tl2 Tl 0.717 0.659 0.534
Rh1 Rh 0.000 0.000 0.970
```

***

This record from Alexandria via LeMat-Bulk describes crystalline HgP2IO at its relaxed geometry. The functional is GGA-PBE.

Values from the calculation:
- Formation energy without anion corrections: 914 meV per atom
- Total DFT energy (no corrections): -2.612 eV per atom
- Mass density: 6.179 g/cm³
- Crystal system: tetragonal
- Size of the total moment: 0.0 Bohr magnetons per cell
- Energy above the most stable polymorph in this dataset: 0 meV/atom

Structure (CIF):
```
data_HgP2IO
_chemical_formula_sum 'Hg1 P2 I1 O1'
_cell_length_a 5.253
_cell_length_b 5.253
_cell_length_c 3.950
_cell_angle_alpha 90.00
_cell_angle_beta 90.00
_cell_angle_gamma 90.00
_space_group_name_H-M_alt 'P 1'
_space_group_IT_number 1
loop_
_space_group_symop_operation_xyz
'x,y,z'
loop_
_atom_site_label
_atom_site_type_symbol
_atom_site_fract_x
_atom_site_fract_y
_atom_site_fract_z
I1 I 0.000 0.000 0.000
P1 P 0.000 0.500 0.000
P2 P 0.500 0.000 0.000
Hg1 Hg 0.500 0.500 0.500
O1 O 0.000 0.000 0.500
```

***

This record from Alexandria via LeMat-Bulk describes crystalline DyMgNi at its relaxed geometry. The functional is GGA-PBE.

Values from the calculation:
- Total DFT energy (no corrections): -4.192 eV per atom
- Mass density: 6.647 g/cm³
- Crystal system: tetragonal
- Size of the total moment: 0.0 Bohr magnetons per cell
- Energy relative to the elements: -58 kJ/mol of formula units

Structure (CIF):
```
data_DyMgNi
_chemical_formula_sum 'Dy1 Mg1 Ni1'
_cell_length_a 3.314
_cell_length_b 3.314
_cell_length_c 6.057
_cell_angle_alpha 105.88
_cell_angle_beta 105.88
_cell_angle_gamma 90.00
_space_group_name_H-M_alt 'P 1'
_space_group_IT_number 1
loop_
_space_group_symop_operation_xyz
'x,y,z'
loop_
_atom_site_label
_atom_site_type_symbol
_atom_site_fract_x
_atom_site_fract_y
_atom_site_fract_z
Ni1 Ni 0.663 0.663 0.327
Mg1 Mg 0.031 0.031 0.062
Dy1 Dy 0.306 0.306 0.611
```

***

This record from Alexandria via LeMat-Bulk describes crystalline CuMoPPd2 at its relaxed geometry. The functional is GGA-PBE.

Values from the calculation:
- Total DFT energy (no corrections): -5.791 eV per atom
- Mass density: 7.552 g/cm³
- Crystal system: tetragonal
- Size of the total moment: 1.7 Bohr magnetons per cell
- Energy relative to the elements: 171 kJ/mol of formula units

Structure (CIF):
```
data_CuMoPPd2
_chemical_formula_sum 'Cu1 Mo1 P1 Pd2'
_cell_length_a 4.437
_cell_length_b 4.505
_cell_length_c 4.437
_cell_angle_alpha 90.00
_cell_angle_beta 90.00
_cell_angle_gamma 90.00
_space_group_name_H-M_alt 'P 1'
_space_group_IT_number 1
loop_
_space_group_symop_operation_xyz
'x,y,z'
loop_
_atom_site_label
_atom_site_type_symbol
_atom_site_fract_x
_atom_site_fract_y
_atom_site_fract_z
P1 P 0.000 0.000 0.000
Mo1 Mo 0.000 0.500 0.000
Cu1 Cu 0.500 0.500 0.500
Pd1 Pd 0.000 0.000 0.500
Pd2 Pd 0.500 0.000 0.000
```

***

This record from Alexandria via LeMat-Bulk describes crystalline BePbAu4 at its relaxed geometry. The functional is GGA-PBE.

Values from the calculation:
- Total DFT energy (no corrections): -3.111 eV per atom
- Mass density: 13.618 g/cm³
- Crystal system: cubic
- Size of the total moment: 0.0 Bohr magnetons per cell
- Energy above the most stable polymorph in this dataset: 385 meV/atom
- Energy relative to the elements: 181 kJ/mol of formula units

Structure (CIF):
```
data_BePbAu4
_chemical_formula_sum 'Be1 Pb1 Au4'
_cell_length_a 5.574
_cell_length_b 5.574
_cell_length_c 5.574
_cell_angle_alpha 60.00
_cell_angle_beta 60.00
_cell_angle_gamma 60.00
_space_group_name_H-M_alt 'P 1'
_space_group_IT_number 1
loop_
_space_group_symop_operation_xyz
'x,y,z'
loop_
_atom_site_label
_atom_site_type_symbol
_atom_site_fract_x
_atom_site_fract_y
_atom_site_fract_z
Be1 Be 0.750 0.750 0.750
Pb1 Pb 0.000 0.000 0.000
Au1 Au 0.873 0.376 0.376
Au2 Au 0.376 0.376 0.873
Au3 Au 0.376 0.873 0.376
Au4 Au 0.376 0.376 0.376
```

***

This record from Alexandria via LeMat-Bulk describes crystalline NiHgW2 at its relaxed geometry. The functional is GGA-PBE.

Values from the calculation:
- Total DFT energy (no corrections): -7.621 eV per atom
- Mass density: 16.313 g/cm³
- Crystal system: tetragonal
- Size of the total moment: 0.0 Bohr magnetons per cell
- Energy relative to the elements: 145 kJ/mol of formula units

Structure (CIF):
```
data_NiHgW2
_chemical_formula_sum 'Ni1 Hg1 W2'
_cell_length_a 2.779
_cell_length_b 2.779
_cell_length_c 8.265
_cell_angle_alpha 90.00
_cell_angle_beta 90.00
_cell_angle_gamma 90.00
_space_group_name_H-M_alt 'P 1'
_space_group_IT_number 1
loop_
_space_group_symop_operation_xyz
'x,y,z'
loop_
_atom_site_label
_atom_site_type_symbol
_atom_site_fract_x
_atom_site_fract_y
_atom_site_fract_z
Ni1 Ni 0.500 0.500 0.769
Hg1 Hg 0.000 0.000 0.522
W1 W 0.000 0.000 0.970
W2 W 0.500 0.500 0.239
```

***

This record from Alexandria via LeMat-Bulk describes crystalline ScMn2PtN at its relaxed geometry. The functional is GGA-PBE.

Values from the calculation:
- Formation energy without anion corrections: 1117 meV per atom
- Total DFT energy (no corrections): -6.690 eV per atom
- Mass density: 6.624 g/cm³
- Crystal system: tetragonal
- Size of the total moment: 8.0 Bohr magnetons per cell
- Energy above the most stable polymorph in this dataset: 1819 meV/atom

Structure (CIF):
```
data_ScMn2PtN
_chemical_formula_sum 'Sc1 Mn2 Pt1 N1'
_cell_length_a 4.914
_cell_length_b 4.914
_cell_length_c 3.778
_cell_angle_alpha 90.00
_cell_angle_beta 90.00
_cell_angle_gamma 90.00
_space_group_name_H-M_alt 'P 1'
_space_group_IT_number 1
loop_
_space_group_symop_operation_xyz
'x,y,z'
loop_
_atom_site_label
_atom_site_type_symbol
_atom_site_fract_x
_atom_site_fract_y
_atom_site_fract_z
Sc1 Sc 0.000 0.000 0.000
Mn1 Mn 0.000 0.500 0.000
Mn2 Mn 0.500 0.000 0.000
Pt1 Pt 0.500 0.500 0.500
N1 N 0.000 0.000 0.500
```

***

This record from Alexandria via LeMat-Bulk describes crystalline GaFe2TcN at its relaxed geometry. The functional is GGA-PBE.

Values from the calculation:
- Formation energy without anion corrections: -145 meV per atom
- Total DFT energy (no corrections): -7.874 eV per atom
- Mass density: 8.318 g/cm³
- Crystal system: tetragonal
- Size of the total moment: 3.3 Bohr magnetons per cell

Structure (CIF):
```
data_GaFe2TcN
_chemical_formula_sum 'Ga1 Fe2 Tc1 N1'
_cell_length_a 3.811
_cell_length_b 3.811
_cell_length_c 4.033
_cell_angle_alpha 90.00
_cell_angle_beta 90.00
_cell_angle_gamma 90.00
_space_group_name_H-M_alt 'P 1'
_space_group_IT_number 1
loop_
_space_group_symop_operation_xyz
'x,y,z'
loop_
_atom_site_label
_atom_site_type_symbol
_atom_site_fract_x
_atom_site_fract_y
_atom_site_fract_z
N1 N 0.000 0.000 0.000
Tc1 Tc 0.000 0.000 0.500
Ga1 Ga 0.500 0.500 0.500
Fe1 Fe 0.000 0.500 0.000
Fe2 Fe 0.500 0.000 0.000
```